A relaxed structure of Sm3BiP2. Source: the Alexandria database, functional PBE-GGA.

Total magnetization (μB/f.u.): 0.00
D(E_F) (states/eV/f.u.): 2.96
Energy relative to the elements (eV per atom): -0.98
SG: Cmcm (63)

a = 5.0540 Å, b = 6.8956 Å, c = 10.0224 Å
α = 90.00°, β = 90.00°, γ = 111.50°
With the nearest neighbours (Å) after each atom.
Fractional coordinates of all 12 atoms:
Sm 0.3770 0.7539 0.5499  3 P 2.79-3.02
Sm 0.6230 0.2461 0.4501  3 P 2.79-3.02
Sm 0.6230 0.2461 0.0499  3 P 2.79-3.02
Sm 0.0929 0.1859 0.7500  4 P 2.66-2.77
Sm 0.3770 0.7539 0.9501  3 P 2.79-3.02
Sm 0.9071 0.8141 0.2500  4 P 2.66-2.77
P 0.4718 0.9437 0.2500  4 Sm 2.66-2.79
P 0.5282 0.0563 0.7500  4 Sm 2.66-2.79
P 0.0000 0.0000 0.0000  6 Sm 2.77-3.02
P 0.0000 0.0000 0.5000  6 Sm 2.77-3.02
Bi 0.2225 0.4450 0.2500  1 P 3.20, 6 Sm 3.46-3.47
Bi 0.7775 0.5550 0.7500  1 P 3.20, 6 Sm 3.46-3.47